one) This record from Alexandria describes an optimized crystal structure of CeNdEr. The functional is PBE.

Unit cell a=3.5389 b=3.5389 c=8.7233 alpha=90.00 beta=90.00 gamma=120.00
Closest atoms and distances in Å follow each position.
Fractional coordinates of all 3 atoms:
Nd 0.0000 0.0000 0.9967  6 Nd 3.54, 3 Ce 3.56, 3 Er 3.63
Ce 0.3333 0.6667 0.6628  3 Er 3.48, 6 Ce 3.54, 3 Nd 3.56
Er 0.6667 0.3333 0.3405  3 Ce 3.48, 6 Er 3.54, 3 Nd 3.63

Summary:
The value obtained for the density is 7.9 g cm⁻³.


two) This record from Alexandria describes an optimized crystal structure of CeNdEr. The functional is PBE.

Unit cell a=7.3488 b=7.3488 c=7.3488 alpha=90.00 beta=90.00 gamma=90.00
Closest atoms and distances in Å follow each position.
Fractional coordinates of all 12 atoms:
Nd 0.9385 0.0615 0.5615  3 Ce 2.79
Nd 0.0615 0.5615 0.9385  3 Ce 2.79
Nd 0.4385 0.4385 0.4385  3 Ce 2.79
Nd 0.5615 0.9385 0.0615  3 Ce 2.79
Er 0.1088 0.1088 0.1088  3 Ce 3.39, 3 Nd 3.57
Er 0.3912 0.8912 0.6088  3 Ce 3.39, 3 Nd 3.57
Er 0.6088 0.3912 0.8912  3 Ce 3.39, 3 Nd 3.57
Er 0.8912 0.6088 0.3912  3 Ce 3.39, 3 Nd 3.57
Ce 0.8008 0.8008 0.8008  3 Nd 2.79
Ce 0.1992 0.3008 0.6992  3 Nd 2.79
Ce 0.6992 0.1992 0.3008  3 Nd 2.79
Ce 0.3008 0.6992 0.1992  3 Nd 2.79

Summary:
The value obtained for the density is 7.6 g cm⁻³.


Energies relative to the most stable structure, in meV per atom: one) 0; two) 563.


one) This record from Alexandria describes an optimized crystal structure of CeNd2Er8. The functional is PBE.

Unit cell a=5.5594 b=10.0981 c=10.0981 alpha=39.96 beta=92.73 gamma=92.73
Closest atoms and distances in Å follow each position.
Fractional coordinates of all 11 atoms:
Nd 0.7514 0.2831 0.2831  9 Er 3.23-3.61
Nd 0.2486 0.7169 0.7169  9 Er 3.23-3.61
Er 0.7634 0.4533 0.4533  1 Er 3.10, 1 Nd 3.23
Er 0.7318 0.8655 0.3937  5 Er 3.26-3.65, 3 Nd 3.43-3.63, 1 Ce 3.46
Er 0.2682 0.1345 0.6063  5 Er 3.26-3.65, 3 Nd 3.43-3.63, 1 Ce 3.46
Er 0.2328 0.1839 0.1839  4 Nd 3.35-3.51, 4 Er 3.44-3.52, 1 Ce 3.66
Er 0.7672 0.8161 0.8161  4 Nd 3.35-3.51, 4 Er 3.44-3.52, 1 Ce 3.66
Er 0.7318 0.3937 0.8655  5 Er 3.26-3.65, 3 Nd 3.43-3.63, 1 Ce 3.46
Er 0.2682 0.6063 0.1345  5 Er 3.26-3.65, 3 Nd 3.43-3.63, 1 Ce 3.46
Er 0.2366 0.5467 0.5467  1 Er 3.10, 1 Nd 3.23
Ce 0.0000 0.0000 0.0000  10 Er 3.46-3.78

Summary:
The value obtained for the density is 8.1 g cm⁻³.


two) This record from Alexandria describes an optimized crystal structure of CeNd2Er8. The functional is PBE.

Unit cell a=5.0153 b=7.9144 c=9.3700 alpha=104.65 beta=105.52 gamma=90.00
Closest atoms and distances in Å follow each position.
Fractional coordinates of all 11 atoms:
Er 0.3204 0.0935 0.6408  1 Ce 3.51, 8 Er 3.53-3.60, 3 Nd 3.55-3.56
Er 0.0440 0.7303 0.0881  9 Er 3.48-3.57, 2 Ce 3.52, 1 Nd 3.59
Er 0.5892 0.4526 0.1783  8 Er 3.49-3.57, 1 Ce 3.52, 3 Nd 3.55-3.58
Er 0.9560 0.2697 0.9119  9 Er 3.48-3.57, 2 Ce 3.52, 1 Nd 3.59
Er 0.8653 0.8231 0.7306  7 Er 3.48-3.58, 2 Ce 3.52, 3 Nd 3.56-3.59
Er 0.1347 0.1769 0.2694  7 Er 3.48-3.58, 2 Ce 3.52, 3 Nd 3.56-3.59
Er 0.6796 0.9065 0.3592  1 Ce 3.51, 8 Er 3.53-3.60, 3 Nd 3.55-3.56
Er 0.4108 0.5474 0.8217  8 Er 3.49-3.57, 1 Ce 3.52, 3 Nd 3.55-3.58
Nd 0.2283 0.6373 0.4565  2 Nd 3.54, 10 Er 3.55-3.59
Nd 0.7717 0.3627 0.5435  2 Nd 3.54, 10 Er 3.55-3.59
Ce 0.5000 0.0000 0.0000  12 Er 3.51-3.52

Summary:
The value obtained for the density is 8.5 g cm⁻³.


Energies relative to the most stable structure, in meV per atom: one) 140; two) 0.


one) This record from Alexandria describes an optimized crystal structure of CeNd2Er2. The functional is PBE.

Unit cell a=6.1160 b=6.1159 c=6.4058 alpha=118.51 beta=118.51 gamma=90.00
Closest atoms and distances in Å follow each position.
Fractional coordinates of all 5 atoms:
Nd 0.7500 0.2500 0.5000  4 Er 3.19
Nd 0.2500 0.7500 0.5000  4 Er 3.19
Er 0.6551 0.6551 0.3102  1 Er 2.93, 4 Nd 3.19, 1 Ce 3.26
Er 0.3449 0.3449 0.6898  1 Er 2.93, 4 Nd 3.19, 1 Ce 3.26
Ce 0.0000 0.0000 0.0000  2 Er 3.26

Summary:
The value obtained for the density is 7.2 g cm⁻³.


two) This record from Alexandria describes an optimized crystal structure of CeNd2Er2. The functional is PBE.

Unit cell a=4.5284 b=4.5284 c=8.9117 alpha=104.72 beta=104.72 gamma=90.00
Closest atoms and distances in Å follow each position.
Fractional coordinates of all 5 atoms:
Er 0.7500 0.2500 0.5000  4 Er 3.20, 4 Nd 3.45
Er 0.2500 0.7500 0.5000  4 Er 3.20, 4 Nd 3.45
Nd 0.4068 0.4068 0.8137  1 Nd 3.10, 4 Er 3.45
Nd 0.5932 0.5932 0.1863  1 Nd 3.10, 4 Er 3.45
Ce 0.0000 0.0000 0.0000  8 Nd 3.56

Summary:
The value obtained for the density is 7.4 g cm⁻³.


Energies relative to the most stable structure, in meV per atom: one) 182; two) 0.


one) This record from Alexandria describes an optimized crystal structure of CeEr2Ni. The functional is PBE.

Unit cell a=6.3218 b=6.7740 c=9.5194 alpha=90.00 beta=90.00 gamma=90.00
Closest atoms and distances in Å follow each position.
Fractional coordinates of all 16 atoms:
Ce 0.1472 0.9629 0.7500  2 Ni 2.62-2.75
Ce 0.3528 0.4629 0.7500  2 Ni 2.62-2.75
Ce 0.6472 0.5371 0.2500  2 Ni 2.62-2.75
Ce 0.8528 0.0371 0.2500  2 Ni 2.62-2.75
Er 0.6720 0.8235 0.5662  2 Ni 2.79-2.84
Er 0.8280 0.3235 0.5662  2 Ni 2.79-2.84
Er 0.3280 0.1765 0.4338  2 Ni 2.79-2.84
Er 0.1720 0.6765 0.0662  2 Ni 2.79-2.84
Er 0.8280 0.3235 0.9338  2 Ni 2.79-2.84
Er 0.3280 0.1765 0.0662  2 Ni 2.79-2.84
Er 0.1720 0.6765 0.4338  2 Ni 2.79-2.84
Er 0.6720 0.8235 0.9338  2 Ni 2.79-2.84
Ni 0.0481 0.3777 0.2500  2 Ce 2.62-2.75, 4 Er 2.79-2.84
Ni 0.9519 0.6223 0.7500  2 Ce 2.62-2.75, 4 Er 2.79-2.84
Ni 0.4519 0.8777 0.2500  2 Ce 2.62-2.75, 4 Er 2.79-2.84
Ni 0.5481 0.1223 0.7500  2 Ce 2.62-2.75, 4 Er 2.79-2.84

Summary:
The value obtained for the density is 8.7 g cm⁻³.


two) This record from Alexandria describes an optimized crystal structure of CeEr2Ni. The functional is PBE.

Unit cell a=3.4224 b=3.4224 c=10.5471 alpha=80.66 beta=80.66 gamma=60.00
Closest atoms and distances in Å follow each position.
Fractional coordinates of all 4 atoms:
Er 0.1081 0.1081 0.6757  3 Ni 2.69
Er 0.8919 0.8919 0.3243  3 Ni 2.69
Ce 0.0000 0.0000 0.0000  2 Er 3.36, 6 Ce 3.42
Ni 0.5000 0.5000 0.5000  6 Er 2.69

Summary:
The value obtained for the density is 8.4 g cm⁻³.


Energies relative to the most stable structure, in meV per atom: one) 0; two) 283.